The following is a DFT calculation (PBE) of a relaxed BaAlSb2 crystal.

Structure (POSCAR):
```
BaAlSb2
1.0
5.181 0.141 -0.100
2.888 4.303 -0.100
2.403 1.323 5.785
Ba Sb Al
1 2 1
Cartesian
2.618 1.442 1.396 Ba
2.425 1.336 5.074 Sb
5.214 2.872 3.503 Sb
7.854 4.326 4.188 Al
```

formation energy without anion corrections: -0.37 eV/atom
raw total energy: -3.85 eV/atom


The following is a DFT calculation (PBE) of a relaxed BaAlSb2 crystal.

Structure (POSCAR):
```
BaAlSb2
1.0
-2.101 7.982 0.134
-7.981 -2.097 -0.210
-5.122 2.854 3.932
Sb Al Ba
4 2 2
Cartesian
-8.244 4.184 2.904 Sb
-12.042 7.453 2.899 Sb
-3.428 4.818 1.030 Sb
-6.695 1.022 0.879 Sb
-5.041 2.942 -0.038 Al
-9.072 1.850 1.842 Al
0.000 0.000 0.000 Ba
-6.132 6.889 2.014 Ba
```

formation energy without anion corrections: -0.48 eV/atom
raw total energy: -3.96 eV/atom


The following is a DFT calculation (PBE) of a relaxed BaAl2Sb2 crystal.

Structure (POSCAR):
```
BaAl2Sb2
1.0
-4.910 0.127 -0.863
0.211 -4.614 -1.880
-3.390 -4.563 4.205
Sb Al Ba
2 2 1
Cartesian
-2.652 -2.917 0.249 Sb
-5.437 -6.133 1.213 Sb
-2.764 -5.710 0.477 Al
-5.324 -3.340 0.985 Al
0.000 0.000 0.000 Ba
```

formation energy without anion corrections: -0.31 eV/atom
raw total energy: -3.84 eV/atom


The following is a DFT calculation (PBE) of a relaxed BaAlSb2 crystal.

Structure (POSCAR):
```
BaAlSb2
1.0
7.186 0.000 0.000
0.000 6.828 0.679
0.000 0.171 11.650
Sb Ba Al
8 4 4
Cartesian
1.989 0.421 0.723 Sb
5.197 3.921 6.887 Sb
5.422 0.430 3.820 Sb
1.764 6.570 8.509 Sb
1.764 3.930 9.985 Sb
1.989 3.079 5.442 Sb
5.197 6.579 11.607 Sb
5.422 3.070 2.344 Sb
1.852 6.621 4.959 Ba
1.852 3.707 1.885 Ba
5.334 0.379 7.371 Ba
5.334 3.292 10.444 Ba
0.631 6.351 10.973 Al
0.631 4.149 7.521 Al
6.555 2.851 4.808 Al
6.555 0.649 1.356 Al
```

formation energy without anion corrections: -0.50 eV/atom
raw total energy: -3.98 eV/atom


The following is a DFT calculation (PBE) of a relaxed Ba14AlSb11 crystal.

Structure (POSCAR):
```
Ba14AlSb11
1.0
-3.445 7.710 -15.850
-17.059 1.054 5.514
12.662 7.392 10.372
Ba Sb Al
56 44 4
Cartesian
-11.857 3.280 -1.089 Ba
3.135 10.708 -4.386 Ba
-14.797 8.356 -4.680 Ba
-7.844 11.974 -1.678 Ba
0.202 6.895 8.160 Ba
8.841 11.451 -0.522 Ba
1.285 3.633 2.361 Ba
-1.394 11.369 0.508 Ba
2.277 12.939 -0.851 Ba
-3.842 11.601 -4.517 Ba
-7.674 2.062 4.191 Ba
-6.020 8.282 -2.951 Ba
-5.375 2.613 0.981 Ba
0.777 7.971 3.388 Ba
-11.588 7.213 -7.482 Ba
-2.331 5.388 1.888 Ba
-2.361 10.092 -8.734 Ba
6.205 13.947 -2.312 Ba
3.304 5.683 5.571 Ba
-15.332 2.758 1.701 Ba
-1.422 11.152 4.913 Ba
-8.034 4.647 -1.980 Ba
-9.654 10.517 1.560 Ba
-5.720 7.517 1.280 Ba
-6.141 8.448 -7.164 Ba
2.494 10.897 -8.489 Ba
-12.202 8.183 -0.790 Ba
-2.246 8.039 -1.510 Ba
-9.904 8.735 -3.999 Ba
-4.519 14.297 -0.770 Ba
9.009 6.426 9.435 Ba
2.456 8.787 -0.133 Ba
-5.117 11.293 2.403 Ba
-13.344 5.881 4.949 Ba
-2.780 2.440 4.871 Ba
-9.435 11.294 -8.177 Ba
-9.543 6.150 2.171 Ba
-1.514 3.175 -1.668 Ba
-1.803 6.109 -7.684 Ba
5.299 12.328 1.772 Ba
-14.882 10.059 -8.495 Ba
-10.638 12.960 -4.436 Ba
-10.214 5.861 8.791 Ba
-5.692 10.217 7.175 Ba
-15.246 5.408 -1.697 Ba
0.996 6.568 -3.655 Ba
9.689 8.347 5.182 Ba
5.359 9.301 4.621 Ba
-18.662 8.415 -6.925 Ba
-0.517 13.925 -3.609 Ba
-3.521 6.819 10.055 Ba
6.786 7.833 0.428 Ba
-3.493 7.037 5.650 Ba
-4.233 4.916 -4.758 Ba
4.739 7.672 9.003 Ba
-11.557 2.515 3.142 Ba
-0.439 5.083 5.182 Sb
0.306 10.111 -11.224 Sb
-12.280 10.408 -6.069 Sb
-12.065 5.975 -3.699 Sb
6.913 6.540 6.443 Sb
1.257 8.088 -6.769 Sb
-0.361 7.441 11.604 Sb
-17.138 5.713 -4.991 Sb
-2.603 8.757 2.557 Sb
-0.526 12.217 -6.685 Sb
-2.199 4.223 7.943 Sb
-8.632 8.019 -0.719 Sb
-7.351 8.923 4.062 Sb
-2.312 9.431 8.006 Sb
5.231 10.594 -1.394 Sb
3.038 14.325 -3.912 Sb
-4.503 5.234 -1.239 Sb
-0.861 3.786 -5.114 Sb
-13.074 5.562 1.430 Sb
-7.839 5.848 -5.235 Sb
1.782 11.224 2.506 Sb
-5.126 2.191 -2.584 Sb
-5.513 4.822 3.890 Sb
4.608 7.551 -2.739 Sb
-9.738 4.948 5.426 Sb
-7.403 11.073 -5.146 Sb
-13.619 7.434 -10.513 Sb
0.343 5.956 -0.208 Sb
-4.555 10.747 -1.041 Sb
0.147 10.353 -2.647 Sb
-4.270 7.342 -9.949 Sb
-6.697 6.964 8.057 Sb
8.142 10.370 2.674 Sb
-14.628 2.486 5.382 Sb
4.002 6.764 2.375 Sb
-11.399 11.573 -1.375 Sb
2.436 9.265 6.501 Sb
-8.945 2.777 0.911 Sb
-1.775 1.654 1.446 Sb
-5.062 7.835 13.210 Sb
-15.379 6.574 -7.752 Sb
-2.949 8.311 -5.191 Sb
-7.834 13.682 1.398 Sb
-8.743 8.099 -9.589 Sb
-7.325 6.414 5.359 Al
-10.252 4.382 -5.168 Al
-0.518 9.742 -5.323 Al
0.000 0.000 0.000 Al
```

formation energy without anion corrections: -1.03 eV/atom
raw total energy: -3.95 eV/atom


The following is a DFT calculation (PBE) of a relaxed BaAlSb2 crystal.

Structure (POSCAR):
```
BaAlSb2
1.0
7.948 -0.044 -0.133
-3.146 5.116 0.037
1.655 0.996 2.997
Sb Ba Al
2 1 1
Cartesian
0.000 0.000 0.000 Sb
4.801 0.476 1.432 Sb
2.401 2.536 -0.048 Ba
-0.745 3.056 1.517 Al
```

formation energy without anion corrections: -0.18 eV/atom
raw total energy: -3.65 eV/atom


The following is a DFT calculation (PBE) of a relaxed BaAlSb2 crystal.

Structure (POSCAR):
```
BaAlSb2
1.0
-0.997 2.441 -2.508
-0.141 -2.634 -2.507
-8.983 -1.515 2.097
Sb Ba Al
2 1 1
Cartesian
-3.334 -0.563 -1.862 Sb
-0.016 -0.003 0.004 Sb
-7.162 -1.209 -0.968 Ba
-4.101 -0.692 0.957 Al
```

formation energy without anion corrections: -0.05 eV/atom
raw total energy: -3.52 eV/atom


The following is a DFT calculation (PBE) of a relaxed Ba2AlSb crystal.

Structure (POSCAR):
```
Ba2AlSb
1.0
-3.294 -4.916 0.252
0.623 -0.220 3.851
-5.786 3.936 1.160
Ba Al Sb
2 1 1
Cartesian
-5.063 3.444 1.015 Ba
-3.506 -1.092 2.487 Ba
-6.399 0.877 3.067 Al
-2.169 1.476 0.435 Sb
```

distance to the lowest polymorph of the same formula: 379 meV/atom
formation energy without anion corrections: -0.23 eV/atom
raw total energy: -3.16 eV/atom


The following is a DFT calculation (PBE) of a relaxed BaAlSb3 crystal.

Structure (POSCAR):
```
BaAlSb3
1.0
-4.912 3.826 -0.701
-2.064 -3.520 -4.754
-3.297 -3.496 4.020
Sb Al Ba
3 1 1
Cartesian
-1.649 -1.748 2.010 Sb
-2.456 1.913 -0.351 Sb
-1.032 -1.760 -2.377 Sb
-5.136 -1.595 -0.718 Al
0.000 0.000 0.000 Ba
```

distance to the lowest polymorph of the same formula: 1203 meV/atom
formation energy without anion corrections: 1.04 eV/atom
raw total energy: -2.57 eV/atom


The following is a DFT calculation (PBE) of a relaxed BaAlSb crystal.

Structure (POSCAR):
```
BaAlSb
1.0
-1.992 4.876 -0.435
-4.966 0.971 1.525
-0.918 2.876 4.338
Al Sb Ba
1 1 1
Cartesian
-1.969 2.181 1.357 Al
-3.938 4.362 2.714 Sb
0.000 0.000 0.000 Ba
```

formation energy without anion corrections: -0.23 eV/atom
raw total energy: -3.49 eV/atom


The following is a DFT calculation (PBE) of a relaxed BaAlSb crystal.

Structure (POSCAR):
```
BaAlSb
1.0
-4.556 -4.151 2.527
-1.245 -6.198 2.097
0.491 -0.022 3.886
Al Ba Sb
1 1 1
Cartesian
0.254 -0.411 3.914 Al
-1.611 -3.473 4.132 Ba
-3.460 -6.508 4.349 Sb
```

formation energy without anion corrections: -0.38 eV/atom
raw total energy: -3.64 eV/atom


The following is a DFT calculation (PBE) of a relaxed Ba2AlSb crystal.

Structure (POSCAR):
```
Ba2AlSb
1.0
-0.072 7.326 -5.767
4.335 -5.079 -6.507
-1.218 0.015 -7.503
Ba Sb Al
4 2 2
Cartesian
0.651 0.894 -10.179 Ba
0.192 4.005 -6.339 Ba
2.851 1.937 -16.418 Ba
2.396 -2.313 -6.618 Ba
0.421 4.232 -9.703 Sb
0.000 0.000 0.000 Sb
2.624 -1.971 -10.073 Al
2.131 1.123 -6.137 Al
```

distance to the lowest polymorph of the same formula: 435 meV/atom
formation energy without anion corrections: -0.18 eV/atom
raw total energy: -3.10 eV/atom


The following is a DFT calculation (PBE) of a relaxed BaAl2Sb2 crystal.

Structure (POSCAR):
```
BaAl2Sb2
1.0
8.648 0.000 0.000
0.000 8.648 0.000
0.000 0.000 3.947
Sb Ba Al
4 2 4
Cartesian
3.227 7.551 0.000 Sb
7.551 5.421 0.000 Sb
1.097 3.227 0.000 Sb
5.421 1.097 0.000 Sb
0.000 0.000 0.000 Ba
4.324 4.324 0.000 Ba
1.149 5.473 1.974 Al
5.473 7.500 1.974 Al
7.500 3.175 1.974 Al
3.175 1.149 1.974 Al
```

formation energy without anion corrections: -0.10 eV/atom
raw total energy: -3.63 eV/atom


The following is a DFT calculation (PBE) of a relaxed Ba3AlSb4 crystal.

Structure (POSCAR):
```
Ba3AlSb4
1.0
-1.538 5.480 1.342
-5.856 -0.597 -4.274
-0.411 -5.063 7.460
Sb Ba Al
4 3 1
Cartesian
-4.865 0.895 -2.943 Sb
-1.572 -1.682 5.066 Sb
-3.700 1.761 1.311 Sb
-5.644 3.672 -2.263 Sb
-1.202 -0.122 -0.877 Ba
-1.285 1.766 4.057 Ba
-4.114 -1.700 2.227 Ba
-3.434 2.469 -1.274 Al
```

formation energy without anion corrections: -0.67 eV/atom
raw total energy: -3.92 eV/atom


The following is a DFT calculation (PBE) of a relaxed Ba2AlSb crystal.

Structure (POSCAR):
```
Ba2AlSb
1.0
5.866 0.000 0.000
2.933 5.080 0.000
2.933 1.693 4.790
Al Ba Sb
1 2 1
Cartesian
5.866 3.387 2.395 Al
2.933 1.693 1.197 Ba
0.000 0.000 0.000 Ba
8.799 5.080 3.592 Sb
```

distance to the lowest polymorph of the same formula: 515 meV/atom
formation energy without anion corrections: -0.10 eV/atom
raw total energy: -3.02 eV/atom


The following is a DFT calculation (PBE) of a relaxed Ba2AlSb crystal.

Structure (POSCAR):
```
Ba2AlSb
1.0
-3.499 1.953 -0.233
-0.861 -1.954 -3.398
-4.305 -7.095 5.171
Sb Ba Al
1 2 1
Cartesian
-2.443 -4.027 2.935 Sb
-3.597 -2.336 -0.114 Ba
-3.969 -6.541 4.768 Ba
-5.113 -4.834 1.707 Al
```

distance to the lowest polymorph of the same formula: 347 meV/atom
formation energy without anion corrections: -0.26 eV/atom
raw total energy: -3.19 eV/atom


The following is a DFT calculation (PBE) of a relaxed BaAlSb2 crystal.

Structure (POSCAR):
```
BaAlSb2
1.0
-1.093 1.852 -3.531
0.823 -3.477 -2.079
-6.791 -2.179 0.958
Al Ba Sb
1 1 2
Cartesian
-2.954 -0.948 0.417 Al
-5.218 -2.444 -2.088 Ba
-1.896 -1.378 -2.556 Sb
-0.388 -0.124 0.055 Sb
```

formation energy without anion corrections: -0.24 eV/atom
raw total energy: -3.72 eV/atom


The following is a DFT calculation (PBE) of a relaxed BaAlSb2 crystal.

Structure (POSCAR):
```
BaAlSb2
1.0
-1.288 4.609 1.963
-3.068 0.770 -3.820
-4.202 -2.404 2.886
Ba Sb Al
1 2 1
Cartesian
-6.322 0.949 0.438 Ba
-2.643 1.792 0.874 Sb
-4.705 -2.062 1.754 Sb
-2.725 -0.924 0.382 Al
```

formation energy without anion corrections: -0.34 eV/atom
raw total energy: -3.81 eV/atom


The following is a DFT calculation (PBE) of a relaxed Ba2AlSb crystal.

Structure (POSCAR):
```
Ba2AlSb
1.0
6.928 0.000 -0.019
5.560 4.133 -0.019
2.156 0.713 4.953
Sb Al Ba
1 1 2
Cartesian
7.841 2.595 2.210 Sb
3.174 1.050 1.459 Al
12.307 4.073 0.052 Ba
11.132 3.684 3.614 Ba
```

distance to the lowest polymorph of the same formula: 65 meV/atom
formation energy without anion corrections: -0.55 eV/atom
raw total energy: -3.47 eV/atom


The following is a DFT calculation (PBE) of a relaxed BaAlSb4 crystal.

Structure (POSCAR):
```
BaAlSb4
1.0
-1.811 0.730 6.119
-5.999 -1.459 1.769
-1.103 -5.161 3.660
Sb Ba Al
4 1 1
Cartesian
-4.252 -1.865 7.359 Sb
-3.905 -4.754 6.153 Sb
-6.306 -2.939 5.226 Sb
-3.364 -2.223 4.358 Sb
0.000 0.000 0.000 Ba
-6.685 -4.418 8.661 Al
```

formation energy without anion corrections: -0.10 eV/atom
raw total energy: -3.79 eV/atom